# 1
Here is a relaxed structure of TaTcO2 from Alexandria. Energies are from PBE.

Cell: 3.9225 3.9225 6.9132 Å, 73.52 73.52 90.00°
Fractional positions:
Tc: 0.5000 0.5000 0.0000
Tc: 0.2500 0.7500 0.5000
O: 0.6375 0.1250 0.2500
O: 0.1125 0.6250 0.2500
O: 0.3750 0.3625 0.7500
O: 0.8750 0.8875 0.7500
Ta: 0.0000 0.0000 0.0000
Ta: 0.7500 0.2500 0.5000

Summary:
Formation energy from raw total energies: -1.12 eV/atom
Space-group type: I-42d (122)
Energy above the lowest structure with this stoichiometry: 0.195 eV/atom

***

# 2
Here is a relaxed structure of Ho2Sc from Alexandria. Energies are from PBE.

Cell: 3.4545 3.4545 7.6242 Å, 103.09 103.09 90.00°
Fractional positions:
Sc: 0.0000 0.0000 0.0000
Ho: 0.6620 0.6620 0.3239
Ho: 0.3380 0.3380 0.6761

Summary:
Space-group type: I4/mmm (139)
Calculated formation energy: 0.1 eV per formula unit
Energy above the lowest structure with this stoichiometry: 0.000 eV/atom

***

# 3
Here is a relaxed structure of YZr3Rh6 from Alexandria. Energies are from PBE.

Cell: 4.3682 8.4843 9.6165 Å, 97.34 90.00 90.00°
Fractional positions:
Y: 0.2500 0.9411 0.6254
Y: 0.7500 0.0589 0.3746
Zr: 0.2500 0.5637 0.3972
Zr: 0.7500 0.4363 0.6028
Zr: 0.2500 0.3382 0.8214
Zr: 0.7500 0.6618 0.1786
Zr: 0.2500 0.7575 0.9503
Zr: 0.7500 0.2425 0.0497
Rh: 0.2500 0.4673 0.1045
Rh: 0.7500 0.5327 0.8955
Rh: 0.2500 0.1610 0.2075
Rh: 0.7500 0.8390 0.7925
Rh: 0.2500 0.6114 0.6853
Rh: 0.7500 0.3886 0.3147
Rh: 0.2500 0.2667 0.5104
Rh: 0.7500 0.7333 0.4896
Rh: 0.2500 0.8335 0.2675
Rh: 0.7500 0.1665 0.7325
Rh: 0.2500 0.0639 0.9201
Rh: 0.7500 0.9361 0.0799

Summary:
Space-group type: P2_1/m (11)
Calculated formation energy: -7.6 eV per formula unit

***

# 4
Here is a relaxed structure of FeIrSe from Alexandria. Energies are from PBE.

Cell: 2.9179 2.9179 5.9754 Å, 90.00 90.00 120.00°
Site moments in Bohr magnetons follow the coordinates.
Fractional positions:
Fe: 0.0000 0.0000 0.9898  2.33
Ir: 0.6667 0.3333 0.3184  0.19
Se: 0.3333 0.6667 0.6918  -0.09

Summary:
Formation energy from raw total energies: 0.28 eV/atom
Space-group type: P3m1 (156)
Energy above the lowest structure with this stoichiometry: 0.023 eV/atom

***

no.,magnetic moment (μB per cell)
1,0.00
2,0.00
3,0.00
4,2.41